Entry from Alexandria via LeMat-Bulk: a relaxed structure of BaNbTe2Mo (GGA-PBE).

Unit cell a=6.0567 b=5.2878 c=6.0567 alpha=90.00 beta=90.00 gamma=90.00
Closest atoms and distances in Å follow each position.
Sites, in units of the cell vectors:
Mo 0.5000 0.5000 0.5000  8 Te 4.02, 4 Nb 4.28
Te 0.0000 0.0000 0.5000  2 Ba 3.03
Te 0.5000 0.0000 0.0000  2 Ba 3.03
Ba 0.0000 0.0000 0.0000  2 Nb 2.64
Nb 0.0000 0.5000 0.0000  2 Ba 2.64

Formation energy without anion corrections in meV per atom: 2558
N(E_F) in states/eV per atom: 3.91
Space group: P4/mmm, No. 123